Entry 1:
Computed, not measured: a relaxed structure of Tm7AgRh4 at the PBE-GGA level of DFT.

Output
density of states at the Fermi level: 7.04 states/eV/f.u.
ΔH_f (0 K): -0.5296 eV/atom
crystal system: monoclinic

Cell and atoms, written as POSCAR:
```
Tm7AgRh4
1.0
6.764 -2.646 0.000
6.764 2.646 0.000
-5.555 0.000 7.749
Tm Ag Rh
7 1 4
direct
0.000 0.000 0.000
0.178 0.178 0.627
0.287 0.287 0.123
0.426 0.426 0.639
0.574 0.574 0.361
0.713 0.713 0.877
0.822 0.822 0.373
0.500 0.500 0.000
0.067 0.067 0.779
0.205 0.205 0.346
0.795 0.795 0.654
0.933 0.933 0.221
```



Entry 2:
Computed, not measured: a relaxed structure of Tm3Ag2Rh at the PBE-GGA level of DFT.

Output
density of states at the Fermi level: 4.79 states/eV/f.u.
energy above the most stable polymorph in this dataset: 10 meV per atom
ΔH_f (0 K): -0.5351 eV/atom
crystal system: trigonal

Cell and atoms, written as POSCAR:
```
Tm3Ag2Rh
1.0
4.954 0.000 0.000
-2.477 4.291 0.000
0.000 0.000 6.120
Tm Ag Rh
3 2 1
direct
0.000 0.000 0.000
0.333 0.667 0.649
0.667 0.333 0.351
0.333 0.667 0.155
0.667 0.333 0.845
0.000 0.000 0.500
```



Entry 3:
Computed, not measured: a relaxed structure of TmAgRh2 at the PBE-GGA level of DFT.

Output
density of states at the Fermi level: 3.71 states/eV/f.u.
ΔH_f (0 K): -0.3387 eV/atom
crystal system: tetragonal

Cell and atoms, written as POSCAR:
```
TmAgRh2
1.0
3.364 0.000 0.000
0.000 3.364 0.000
0.000 0.000 6.179
Tm Ag Rh
1 1 2
direct
0.000 0.000 0.000
0.000 0.000 0.500
0.500 0.500 0.255
0.500 0.500 0.745
```



Entry 4:
Computed, not measured: a relaxed structure of Tm8Ag2Rh at the PBE-GGA level of DFT.

Output
density of states at the Fermi level: 10.96 states/eV/f.u.
energy above the most stable polymorph in this dataset: 59 meV per atom
ΔH_f (0 K): -0.2247 eV/atom
crystal system: monoclinic

Cell and atoms, written as POSCAR:
```
Tm8Ag2Rh
1.0
3.712 -7.910 0.000
3.712 7.910 0.000
-3.133 0.000 5.023
Tm Ag Rh
8 2 1
direct
0.000 0.000 0.000
0.086 0.473 0.214
0.117 0.890 0.521
0.429 0.664 0.883
0.473 0.086 0.214
0.550 0.550 0.360
0.664 0.429 0.883
0.890 0.117 0.521
0.000 0.563 0.714
0.563 0.000 0.714
0.282 0.282 0.524
```



Entry 5:
Computed, not measured: a relaxed structure of Tm3AgRh at the PBE-GGA level of DFT.

Output
density of states at the Fermi level: 4.24 states/eV/f.u.
energy above the most stable polymorph in this dataset: 0 meV per atom
ΔH_f (0 K): -0.5114 eV/atom
crystal system: monoclinic

Cell and atoms, written as POSCAR:
```
Tm3AgRh
1.0
4.826 -3.121 0.000
4.826 3.121 0.000
-4.752 0.000 7.881
Tm Ag Rh
6 2 2
direct
0.068 0.068 0.280
0.290 0.290 0.714
0.308 0.308 0.117
0.692 0.692 0.883
0.710 0.710 0.286
0.932 0.932 0.720
0.286 0.714 0.500
0.714 0.286 0.500
0.251 0.749 0.000
0.749 0.251 0.000
```



Entry 6:
Computed, not measured: a relaxed structure of Tm4AgRh2 at the PBE-GGA level of DFT.

Output
density of states at the Fermi level: 6.12 states/eV/f.u.
energy above the most stable polymorph in this dataset: 14 meV per atom
ΔH_f (0 K): -0.6096 eV/atom
crystal system: tetragonal

Cell and atoms, written as POSCAR:
```
Tm4AgRh2
1.0
4.849 0.000 0.000
0.000 4.849 0.000
0.000 0.000 6.810
Tm Ag Rh
4 1 2
direct
0.000 0.500 0.245
0.000 0.500 0.755
0.500 0.000 0.245
0.500 0.000 0.755
0.000 0.000 0.500
0.000 0.000 0.000
0.500 0.500 0.500
```



For reference, calculated volume by record: 23.11, 21.68, 17.48, 26.82, 23.74, 22.88 A^3/atom.